Below is crystalline Sc2AgAu at its relaxed geometry, with properties calculated at the PBE-GGA level.

a b c (Å): 4.733 4.733 4.733
angles (deg): 60.00 60.00 60.00
Atoms (fractional coordinates):
Ag: 0.500 0.500 0.500
Au: 0.250 0.250 0.250
Sc: 0.000 0.000 0.000
Sc: 0.750 0.750 0.750

Its energy above the most stable polymorph in this dataset is 172 meV per atom.

Below is crystalline Ac2BeAl at its relaxed geometry, with properties calculated at the PBE-GGA level.

a b c (Å): 3.829 3.829 7.798
angles (deg): 90.00 90.00 90.00
Atoms (fractional coordinates):
Be: 0.500 0.500 0.000
Ac: 0.000 0.000 0.764
Ac: 0.000 0.000 0.236
Al: 0.500 0.500 0.500

Its energy above the most stable polymorph in this dataset is 0 meV per atom.